Here is a relaxed FeNiRh2 crystal from Alexandria. Energies are from GGA-PBE.

Unit cell a=5.3699 b=7.2119 c=2.6965 alpha=90.00 beta=90.00 gamma=90.00
With the nearest neighbours (Å) after each atom.
Positions (direct):
Fe 0.0000 0.0000 0.0000  8 Rh 2.62, 2 Ni 2.68, 2 Fe 2.70
Fe 0.5000 0.5000 0.0000  8 Rh 2.62, 2 Ni 2.68, 2 Fe 2.70
Ni 0.0000 0.5000 0.0000  8 Rh 2.62, 2 Fe 2.68, 2 Ni 2.70
Ni 0.5000 0.0000 0.0000  8 Rh 2.62, 2 Fe 2.68, 2 Ni 2.70
Rh 0.2500 0.2500 0.5000  4 Fe 2.62, 4 Ni 2.62, 4 Rh 2.68-2.70
Rh 0.2500 0.7500 0.5000  4 Fe 2.62, 4 Ni 2.62, 4 Rh 2.68-2.70
Rh 0.7500 0.2500 0.5000  4 Fe 2.62, 4 Ni 2.62, 4 Rh 2.68-2.70
Rh 0.7500 0.7500 0.5000  4 Fe 2.62, 4 Ni 2.62, 4 Rh 2.68-2.70

Values from the calculation:
Crystal system: orthorhombic
Energy of formation from the pure elements, kJ per mole of atoms: 0.6
M_tot, μB/f.u.: 4.43
N(E_F), states/eV/f.u.: 6.51
SG: Cmmm
V, Å³/cell: 104